Below is an optimized crystal structure of ScSiP2, with properties calculated at the PBE level.

abc: 3.5078 3.5078 5.1963
angles: 90.00 90.00 90.00
Fractional coordinates of all 4 atoms:
P 0.0000 0.0000 0.9800
Sc 0.5000 0.5000 0.2500
P 0.0000 0.0000 0.5200
Si 0.5000 0.5000 0.7500

## Properties
Raw formation energy (meV per atom): -333
Symmetry: P4/mmm (123)

Below is an optimized crystal structure of TlCu2SbBr8, with properties calculated at the PBE level.

abc: 6.7848 6.7848 8.7034
angles: 90.96 90.96 71.46
Fractional coordinates of all 12 atoms:
Sb 0.0000 0.0000 0.0000
Br 0.2645 0.7507 0.2363
Cu 0.6586 0.6586 0.2391
Br 0.2493 0.7355 0.7637
Br 0.2541 0.2541 0.0085
Cu 0.3414 0.3414 0.7609
Br 0.7507 0.2645 0.2363
Br 0.2520 0.2520 0.5146
Tl 0.0000 0.0000 0.5000
Br 0.7459 0.7459 0.9915
Br 0.7355 0.2493 0.7637
Br 0.7480 0.7480 0.4854

## Properties
Raw formation energy (meV per atom): -439
Symmetry: C2/m (12)

Below is an optimized crystal structure of AcLa2Pr3Sm6, with properties calculated at the PBE level.

abc: 6.4367 6.4367 12.1701
angles: 95.06 95.06 120.05
Fractional coordinates of all 12 atoms:
Ac 0.0000 0.0000 0.0000
La 0.3332 0.6668 0.0000
La 0.6668 0.3332 0.0000
Pr 0.8332 0.1668 0.5000
Sm 0.2499 0.2499 0.7473
Sm 0.5801 0.9149 0.7474
Sm 0.9149 0.5801 0.7474
Sm 0.0851 0.4199 0.2526
Sm 0.7501 0.7501 0.2527
Pr 0.1668 0.8332 0.5000
Pr 0.5000 0.5000 0.5000
Sm 0.4199 0.0851 0.2526

## Properties
Formation energy from the elements (eV/atom): 0.017
Symmetry: C2/m (12)

Below is an optimized crystal structure of Tc2NiW, with properties calculated at the PBE level.

abc: 4.3221 4.3221 4.3221
angles: 60.00 60.00 60.00
Fractional coordinates of all 4 atoms:
Tc 0.0000 0.0000 0.0000
Tc 0.7500 0.7500 0.7500
W 0.2500 0.2500 0.2500
Ni 0.5000 0.5000 0.5000

## Properties
Offset from the most stable computed form (kJ/mol of atoms): 24.4
Formation energy from the elements (eV/atom): 0.238
Symmetry: F-43m (216)

Below is an optimized crystal structure of NbZn2Pt, with properties calculated at the PBE level.

abc: 4.1016 3.9226 3.9226
angles: 90.00 90.00 90.00
Fractional coordinates of all 4 atoms:
Zn 0.0000 0.0000 0.5000
Nb 0.5000 0.0000 0.0000
Pt 0.5000 0.5000 0.5000
Zn 0.0000 0.5000 0.0000

## Properties
Formation energy from the elements (eV/atom): -0.248
Symmetry: P4/mmm (123)

Below is an optimized crystal structure of Gd2TePb, with properties calculated at the PBE level.

abc: 3.7089 3.7089 8.2597
angles: 90.00 90.00 90.00
Last column: magnetic moment on the atom in μB.
Fractional coordinates of all 4 atoms:
Pb 0.5000 0.5000 0.5000  -0.02
Te 0.5000 0.5000 0.0000  -0.04
Gd 0.0000 0.0000 0.7639  7.30
Gd 0.0000 0.0000 0.2361  7.30

## Properties
Offset from the most stable computed form (kJ/mol of atoms): 10.2
Raw formation energy (meV per atom): -872
Symmetry: P4/mmm (123)

Below is an optimized crystal structure of LaBeCo2, with properties calculated at the PBE level.

abc: 5.2345 5.2345 5.2345
angles: 143.12 134.54 59.91
Last column: magnetic moment on the atom in μB.
Fractional coordinates of all 4 atoms:
Be 0.2121 0.7121 0.5000  -0.02
La 0.4877 0.4877 0.0000  -0.05
Co 0.7593 0.2593 0.5000  1.09
Co 0.0409 0.0409 0.0000  0.10

## Properties
Formation energy from the elements (eV/atom): 0.317
Symmetry: Imm2 (44)